No. 1
A relaxed TbSi3Pt3 crystal. Source: the Alexandria database, functional PBE.

It has space group Pm-3n (No. 223), with a = 6.5946 Å, b = 6.5946 Å, c = 6.5946 Å, α = 90.00°, β = 90.00° and γ = 90.00°. The inequivalent atoms are Tb at (0.0000, 0.0000, 0.0000), Si at (0.0000, 0.2500, 0.5000) and Pt at (0.0000, 0.5000, 0.2500).

For the formation energy from raw total energies, the calculation gives -0.6195 eV/atom. The density of states at the Fermi level is 6.932 states/eV per cell.



No. 2
A relaxed Zr2RuAu2 crystal. Source: the Alexandria database, functional PBE.

It has space group I4/mmm (No. 139), with a = 3.6590 Å, b = 3.6590 Å, c = 15.4774 Å, α = 90.00°, β = 90.00° and γ = 90.00°. The inequivalent atoms are Zr at (0.0000, 0.0000, 0.0938), Ru at (0.0000, 0.0000, 0.5000) and Au at (0.0000, 0.5000, 0.2500).

For the formation energy, the calculation gives 0.03 eV/atom. The density of states at the Fermi level is 13.732 states/eV per cell.



No. 3
A relaxed Sr2Tl7InPb2 crystal. Source: the Alexandria database, functional PBE.

It has space group C2/m (No. 12), with a = 6.8091 Å, b = 6.8165 Å, c = 17.3606 Å, α = 90.00°, β = 100.05° and γ = 90.00°. The inequivalent atoms are Sr at (0.1505, 0.0000, 0.3281), Tl at (0.0000, 0.5000, 0.0000), Tl at (0.1782, 0.2495, 0.8476), Tl at (0.2325, 0.5000, 0.4704), In at (0.0000, 0.0000, 0.0000) and Pb at (0.1314, 0.5000, 0.2879).

For the formation energy, the calculation gives -0.13 eV/atom. The density of states at the Fermi level is 10.455 states/eV per cell.